Entry 1:
Here is a relaxed RbHg2H4 crystal from Alexandria via LeMat-Bulk. Energies are from PBE-GGA.

The structure belongs to space group I4/mmm (No. 139); the cell edges are 6.883, 6.883 and 6.033 Å and the angles 90.00°, 90.00° and 90.00°. The asymmetric unit holds Rb at (0.000, 0.000, 0.000), Hg at (0.000, 0.500, 0.250) and H at (0.000, 0.312, 0.500).

As for the total DFT energy (no corrections): -1.857 eV per atom.



Entry 2:
Here is a relaxed RbHgH2 crystal from Alexandria via LeMat-Bulk. Energies are from PBE-GGA.

The structure belongs to space group R-3m (No. 166, hexagonal axes); the cell edges are 4.6537, 4.6537 and 16.2344 Å and the angles 90.00°, 90.00° and 120.00°. The asymmetric unit holds Rb at (0.0000, 0.0000, 0.0000), Hg at (0.0000, 0.0000, 0.5000) and H at (0.0000, 0.0000, 0.3971).

Its energy above the most stable polymorph in this dataset is 155 meV/atom. As for the total DFT energy (no corrections): -1.896 eV per atom.



Entry 3:
Here is a relaxed RbHg3H crystal from Alexandria via LeMat-Bulk. Energies are from PBE-GGA.

The structure belongs to space group Pm-3m (No. 221); the cell edges are 5.225, 5.225 and 5.225 Å and the angles 90.00°, 90.00° and 90.00°. The asymmetric unit holds Rb at (0.000, 0.000, 0.000), Hg at (0.000, 0.500, 0.500) and H at (0.500, 0.500, 0.500).

Its energy above the most stable polymorph in this dataset is 205 meV/atom. As for the total DFT energy (no corrections): -0.925 eV per atom.



Entry 4:
Here is a relaxed RbHgH crystal from Alexandria via LeMat-Bulk. Energies are from PBE-GGA.

The structure belongs to space group I4mm (No. 107); the cell edges are 3.941, 3.941 and 13.046 Å and the angles 90.00°, 90.00° and 90.00°. The asymmetric unit holds Rb at (0.000, 0.000, 0.000), Hg at (0.000, 0.000, 0.279) and H at (0.000, 0.000, 0.458).

Its energy above the most stable polymorph in this dataset is 75 meV/atom. As for the total DFT energy (no corrections): -1.590 eV per atom.



Entry 5:
Here is a relaxed RbHg2H2 crystal from Alexandria via LeMat-Bulk. Energies are from PBE-GGA.

The structure belongs to space group C2/m (No. 12); the cell edges are 5.275, 5.158 and 8.000 Å and the angles 90.00°, 109.19° and 90.00°. The asymmetric unit holds Rb at (0.000, 0.000, 0.000), Hg at (0.202, 0.500, 0.401) and H at (0.080, 0.500, 0.161).

Its energy above the most stable polymorph in this dataset is 0 meV/atom. As for the total DFT energy (no corrections): -1.649 eV per atom.



Entry 6:
Here is a relaxed Rb2HgH crystal from Alexandria via LeMat-Bulk. Energies are from PBE-GGA.

The structure belongs to space group R-3m (No. 166, hexagonal axes); the cell edges are 4.2723, 4.2723 and 27.4371 Å and the angles 90.00°, 90.00° and 120.00°. The asymmetric unit holds Rb at (0.0000, 0.0000, 0.2303), Hg at (0.0000, 0.0000, 0.0000) and H at (0.0000, 0.0000, 0.5000).

Its energy above the most stable polymorph in this dataset is 0 meV/atom. As for the total DFT energy (no corrections): -1.495 eV per atom.



Repeat the second record exactly.
Here is a relaxed RbHgH2 crystal from Alexandria via LeMat-Bulk. Energies are from PBE-GGA.

The structure belongs to space group R-3m (No. 166, hexagonal axes); the cell edges are 4.6537, 4.6537 and 16.2344 Å and the angles 90.00°, 90.00° and 120.00°. The asymmetric unit holds Rb at (0.0000, 0.0000, 0.0000), Hg at (0.0000, 0.0000, 0.5000) and H at (0.0000, 0.0000, 0.3971).

Its energy above the most stable polymorph in this dataset is 155 meV/atom. As for the total DFT energy (no corrections): -1.896 eV per atom.